Record 1
This record from Alexandria via LeMat-Bulk describes crystalline MgCdGe2 at its relaxed geometry. The functional is PBE.

Cell: 4.893 4.893 4.893 Å, 60.00 60.00 60.00°
Atoms (fractional coordinates):
1 Mg 0.000 0.000 0.000
2 Cd 0.500 0.500 0.500
3 Ge 0.250 0.250 0.250
4 Ge 0.750 0.750 0.750

Values from the calculation:
For the density of states at the Fermi level, the calculation gives 2.25 states/eV/cell. The energy above the lowest structure with this stoichiometry comes out at 0.233 eV/f.u. For the electronic total energy, the calculation gives -2.823 eV per atom. Its space group is Fm-3m (225).

=====

Record 2
This record from Alexandria via LeMat-Bulk describes crystalline Mg4Cd2Ge at its relaxed geometry. The functional is PBE.

Cell: 8.241 8.241 8.241 Å, 144.64 144.64 50.88°
Atoms (fractional coordinates):
1 Mg 0.000 0.500 0.500
2 Mg 0.181 0.181 0.000
3 Mg 0.500 0.000 0.500
4 Mg 0.819 0.819 0.000
5 Cd 0.370 0.370 0.000
6 Cd 0.630 0.630 0.000
7 Ge 0.000 0.000 0.000

Values from the calculation:
For the density of states at the Fermi level, the calculation gives 2.91 states/eV/cell. For the electronic total energy, the calculation gives -1.684 eV per atom. Its space group is I4/mmm (139).

=====

Record 3
This record from Alexandria via LeMat-Bulk describes crystalline MgCdGe at its relaxed geometry. The functional is PBE.

Cell: 4.256 6.374 5.174 Å, 90.00 112.26 90.00°
Atoms (fractional coordinates):
1 Mg 0.000 0.000 0.000
2 Mg 0.064 0.500 0.128
3 Cd 0.715 0.232 0.418
4 Cd 0.715 0.768 0.418
5 Ge 0.405 0.292 0.810
6 Ge 0.405 0.708 0.810

Values from the calculation:
For the density of states at the Fermi level, the calculation gives 2.23 states/eV/cell. For the electronic total energy, the calculation gives -2.317 eV per atom. Its space group is Pm (6).

=====

Record 4
This record from Alexandria via LeMat-Bulk describes crystalline MgCd2Ge at its relaxed geometry. The functional is PBE.

Cell: 10.696 10.696 10.696 Å, 157.34 157.34 32.26°
Atoms (fractional coordinates):
1 Mg 0.000 0.000 0.000
2 Mg 0.750 0.250 0.500
3 Cd 0.125 0.625 0.000
4 Cd 0.375 0.375 0.500
5 Cd 0.625 0.125 0.000
6 Cd 0.875 0.875 0.500
7 Ge 0.250 0.750 0.500
8 Ge 0.500 0.500 0.000

Values from the calculation:
For the density of states at the Fermi level, the calculation gives 3.65 states/eV/cell. The energy above the lowest structure with this stoichiometry comes out at 0.342 eV/f.u. For the electronic total energy, the calculation gives -1.917 eV per atom. Its space group is I-42d (122).

=====

Record 5
This record from Alexandria via LeMat-Bulk describes crystalline MgCdGe at its relaxed geometry. The functional is PBE.

Cell: 4.676 4.676 3.371 Å, 90.00 90.00 120.00°
Atoms (fractional coordinates):
1 Mg 0.000 0.000 0.000
2 Cd 0.667 0.333 0.441
3 Ge 0.333 0.667 0.597

Values from the calculation:
For the density of states at the Fermi level, the calculation gives 0.91 states/eV/cell. For the electronic total energy, the calculation gives -2.328 eV per atom. Its space group is P3m1 (156).

=====

Record 6
This record from Alexandria via LeMat-Bulk describes crystalline MgCd2Ge at its relaxed geometry. The functional is PBE.

Cell: 3.501 3.501 7.096 Å, 90.00 90.00 90.00°
Atoms (fractional coordinates):
1 Mg 0.000 0.000 0.000
2 Cd 0.500 0.500 0.255
3 Cd 0.500 0.500 0.745
4 Ge 0.000 0.000 0.500

Values from the calculation:
For the density of states at the Fermi level, the calculation gives 0.97 states/eV/cell. The energy above the lowest structure with this stoichiometry comes out at 0.310 eV/f.u. For the electronic total energy, the calculation gives -1.925 eV per atom. Its space group is P4/mmm (123).

=====

Record 7
This record from Alexandria via LeMat-Bulk describes crystalline MgCdGe at its relaxed geometry. The functional is PBE.

Cell: 3.211 5.169 7.834 Å, 79.79 78.84 89.84°
Atoms (fractional coordinates):
1 Mg 0.000 0.000 0.000
2 Mg 0.164 0.702 0.655
3 Cd 0.329 0.167 0.319
4 Cd 0.662 0.202 0.664
5 Ge 0.511 0.513 0.981
6 Ge 0.812 0.661 0.335

Values from the calculation:
For the density of states at the Fermi level, the calculation gives 2.07 states/eV/cell. For the electronic total energy, the calculation gives -2.304 eV per atom. Its space group is P1 (1).

=====

Record 8
This record from Alexandria via LeMat-Bulk describes crystalline MgCd2Ge at its relaxed geometry. The functional is PBE.

Cell: 11.445 11.445 11.445 Å, 15.41 15.41 15.41°
Atoms (fractional coordinates):
1 Mg 0.000 0.000 0.000
2 Cd 0.090 0.090 0.090
3 Cd 0.910 0.910 0.910
4 Ge 0.500 0.500 0.500

Values from the calculation:
For the density of states at the Fermi level, the calculation gives 1.92 states/eV/cell. The energy above the lowest structure with this stoichiometry comes out at 0.712 eV/f.u. For the electronic total energy, the calculation gives -1.825 eV per atom. Its space group is R-3m (166).